Record 1
VASP calculation (GGA-PBE) on LiHg3F6 after structural relaxation.

Summary:
- total magnetization (μB per formula unit) = 0.00
- SG = Cmc2_1
- density of states at the Fermi level (states/eV/atom) = 0.135
- calculated total energy (eV per atom) = -3.02
- offset from the most stable computed form (kJ/mol of formula units) = 0.0
- energy relative to the elements, uncorrected (meV per atom) = -1619
- crystal system = orthorhombic

Unit cell a=7.460 b=7.460 c=5.695 alpha=90.00 beta=90.00 gamma=102.15
Atoms (fractional coordinates):
Li1 0.196 0.804 0.500
Li2 0.804 0.196 0.000
Hg1 0.075 0.285 0.465
Hg2 0.285 0.075 0.965
Hg3 0.392 0.608 0.905
Hg4 0.608 0.392 0.405
Hg5 0.715 0.925 0.465
Hg6 0.925 0.715 0.965
F1 0.043 0.957 0.638
F2 0.113 0.580 0.675
F3 0.218 0.782 0.169
F4 0.315 0.362 0.182
F5 0.362 0.315 0.682
F6 0.420 0.887 0.675
F7 0.580 0.113 0.175
F8 0.638 0.685 0.182
F9 0.685 0.638 0.682
F10 0.782 0.218 0.669
F11 0.887 0.420 0.175
F12 0.957 0.043 0.138

Record 2
VASP calculation (GGA-PBE) on Er3BiSe3 after structural relaxation.

Summary:
- total magnetization (μB per formula unit) = 0.00
- SG = R-3
- calculated total energy (eV per atom) = -5.44
- energy relative to the elements, uncorrected (meV per atom) = -1432
- crystal system = trigonal

Unit cell a=8.644 b=8.644 c=8.644 alpha=56.52 beta=56.52 gamma=56.52
Atoms (fractional coordinates):
Er1 0.016 0.423 0.786
Er2 0.214 0.984 0.577
Er3 0.423 0.786 0.016
Er4 0.577 0.214 0.984
Er5 0.786 0.016 0.423
Er6 0.984 0.577 0.214
Bi1 0.166 0.166 0.166
Bi2 0.834 0.834 0.834
Se1 0.127 0.668 0.370
Se2 0.332 0.630 0.873
Se3 0.370 0.127 0.668
Se4 0.630 0.873 0.332
Se5 0.668 0.370 0.127
Se6 0.873 0.332 0.630

Record 3
VASP calculation (GGA-PBE) on Rb2NaH6Pt after structural relaxation.

Summary:
- total magnetization (μB per formula unit) = 0.73
- SG = P-3m1
- density of states at the Fermi level (states/eV/atom) = 0.270
- calculated total energy (eV per atom) = -3.24
- crystal system = trigonal

Unit cell a=6.122 b=6.122 c=5.863 alpha=90.00 beta=90.00 gamma=120.00
Atoms (fractional coordinates):
Rb1 0.333 0.667 0.319
Rb2 0.667 0.333 0.681
Na1 0.000 0.000 0.000
H1 0.130 0.259 0.665
H2 0.130 0.870 0.665
H3 0.259 0.130 0.335
H4 0.741 0.870 0.665
H5 0.870 0.130 0.335
H6 0.870 0.741 0.335
Pt1 0.000 0.000 0.500

Record 4
VASP calculation (GGA-PBE) on Na2NbC2 after structural relaxation.

Summary:
- total magnetization (μB per formula unit) = 0.00
- DFT formation energy (eV/atom) = 0.77
- SG = I4/mmm
- density of states at the Fermi level (states/eV/atom) = 0.405
- calculated total energy (eV per atom) = -5.46
- offset from the most stable computed form (kJ/mol of formula units) = 0.0
- crystal system = tetragonal

Unit cell a=5.917 b=5.917 c=5.917 alpha=146.99 beta=146.99 gamma=47.38
Atoms (fractional coordinates):
Na1 0.250 0.750 0.500
Na2 0.750 0.250 0.500
Nb1 0.000 0.000 0.000
C1 0.434 0.434 0.000
C2 0.566 0.566 0.000

Record 5
VASP calculation (GGA-PBE) on AcNd2Y6Er3 after structural relaxation.

Summary:
- total magnetization (μB per formula unit) = 0.00
- DFT formation energy (eV/atom) = 0.03
- SG = C2/m
- density of states at the Fermi level (states/eV/atom) = 1.445
- calculated total energy (eV per atom) = -5.48
- crystal system = monoclinic

Unit cell a=6.264 b=6.264 c=11.904 alpha=95.03 beta=95.03 gamma=119.97
Atoms (fractional coordinates):
Ac1 0.000 0.000 0.000
Nd1 0.333 0.667 0.000
Nd2 0.667 0.333 0.000
Y1 0.087 0.422 0.257
Y2 0.249 0.249 0.743
Y3 0.422 0.087 0.257
Y4 0.578 0.913 0.743
Y5 0.751 0.751 0.257
Y6 0.913 0.578 0.743
Er1 0.167 0.833 0.500
Er2 0.500 0.500 0.500
Er3 0.833 0.167 0.500

Record 6
VASP calculation (GGA-PBE) on SrTiAl3 after structural relaxation.

Summary:
- total magnetization (μB per formula unit) = 0.00
- DFT formation energy (eV/atom) = 1.75
- SG = Pm-3m
- density of states at the Fermi level (states/eV/atom) = 1.007
- calculated total energy (eV per atom) = -2.42
- offset from the most stable computed form (kJ/mol of formula units) = 759.4
- crystal system = cubic

Unit cell a=5.372 b=5.372 c=5.372 alpha=90.00 beta=90.00 gamma=90.00
Atoms (fractional coordinates):
Sr1 0.000 0.000 0.000
Ti1 0.500 0.500 0.500
Al1 0.000 0.000 0.500
Al2 0.000 0.500 0.000
Al3 0.500 0.000 0.000

Record 7
VASP calculation (GGA-PBE) on Er4Tl3Os after structural relaxation.

Summary:
- total magnetization (μB per formula unit) = 0.30
- DFT formation energy (eV/atom) = -0.33
- SG = P4/mmm
- density of states at the Fermi level (states/eV/atom) = 0.564
- calculated total energy (eV per atom) = -4.90
- crystal system = tetragonal

Unit cell a=3.524 b=3.524 c=15.942 alpha=90.00 beta=90.00 gamma=90.00
Atoms (fractional coordinates):
Er1 0.000 0.000 0.100
Er2 0.000 0.000 0.367
Er3 0.000 0.000 0.633
Er4 0.000 0.000 0.900
Tl1 0.500 0.500 0.238
Tl2 0.500 0.500 0.500
Tl3 0.500 0.500 0.762
Os1 0.500 0.500 0.000

Record 8
VASP calculation (GGA-PBE) on SmGdGe after structural relaxation.

Summary:
- total magnetization (μB per formula unit) = 7.82
- DFT formation energy (eV/atom) = -0.55
- SG = F-43m
- density of states at the Fermi level (states/eV/atom) = 1.286
- calculated total energy (eV per atom) = -8.35
- crystal system = cubic

Unit cell a=4.966 b=4.966 c=4.966 alpha=60.00 beta=60.00 gamma=60.00
Atoms (fractional coordinates):
Sm1 0.000 0.000 0.000
Gd1 0.500 0.500 0.500
Ge1 0.250 0.250 0.250

The lowest calculated total energy belongs to which entry? SmGdGe

What is the total magnetization in the seventh record? 0.30 μB per formula unit